# 1
Density functional theory data (PBEsol) for a relaxed structure of Sb2WBr.

The volume is 20.6 Å³/atom. The value obtained for the formation energy from raw total energies is 0.78 eV per atom. The crystal system is tetragonal.

It has space group I4/mmm (No. 139), with a = 4.531 Å, b = 4.531 Å, c = 8.036 Å, α = 90.00°, β = 90.00° and γ = 90.00°. The inequivalent atoms are Sb at (0.000, 0.500, 0.250), W at (0.000, 0.000, 0.000) and Br at (0.000, 0.000, 0.500).

# 2
Density functional theory data (PBEsol) for a relaxed structure of SbWBr2.

The volume is 20.6 Å³/atom. The value obtained for the formation energy from raw total energies is 1.13 eV per atom. The crystal system is orthorhombic.

It has space group Cmmm (No. 65), with a = 6.217 Å, b = 8.680 Å, c = 3.060 Å, α = 90.00°, β = 90.00° and γ = 90.00°. The inequivalent atoms are Sb at (0.000, 0.000, 0.000), W at (0.000, 0.500, 0.000) and Br at (0.250, 0.250, 0.500).

# 3
Density functional theory data (PBEsol) for a relaxed structure of SbWBr3.

The volume is 24.8 Å³/atom. The value obtained for the formation energy from raw total energies is 0.65 eV per atom. The crystal system is cubic.

It has space group Pm-3m (No. 221), with a = 4.983 Å, b = 4.983 Å, c = 4.983 Å, α = 90.00°, β = 90.00° and γ = 90.00°. The inequivalent atoms are Sb at (0.000, 0.000, 0.000), W at (0.500, 0.500, 0.500) and Br at (0.000, 0.500, 0.500).

# 4
Density functional theory data (PBEsol) for a relaxed structure of Sb2WBr.

The volume is 22.5 Å³/atom. The value obtained for the formation energy from raw total energies is 1.11 eV per atom. The crystal system is tetragonal.

It has space group P4/mmm (No. 123), with a = 4.180 Å, b = 4.180 Å, c = 5.149 Å, α = 90.00°, β = 90.00° and γ = 90.00°. The inequivalent atoms are Sb at (0.000, 0.500, 0.000), W at (0.000, 0.000, 0.500) and Br at (0.500, 0.500, 0.500).

# 5
Density functional theory data (PBEsol) for a relaxed structure of SbWBr2.

The volume is 19.8 Å³/atom. The value obtained for the formation energy from raw total energies is 1.14 eV per atom. The crystal system is tetragonal.

It has space group I4/mmm (No. 139), with a = 4.822 Å, b = 4.822 Å, c = 6.810 Å, α = 90.00°, β = 90.00° and γ = 90.00°. The inequivalent atoms are Sb at (0.000, 0.000, 0.000), W at (0.000, 0.000, 0.500) and Br at (0.000, 0.500, 0.250).

# 6
Density functional theory data (PBEsol) for a relaxed structure of Sb2WBr.

The volume is 22.5 Å³/atom. The value obtained for the formation energy from raw total energies is 0.56 eV per atom. The crystal system is tetragonal.

It has space group P4mm (No. 99), with a = 3.444 Å, b = 3.444 Å, c = 7.604 Å, α = 90.00°, β = 90.00° and γ = 90.00°. The inequivalent atoms are Sb at (0.000, 0.000, 0.000), Sb at (0.500, 0.500, 0.239), W at (0.000, 0.000, 0.410) and Br at (0.500, 0.500, 0.647).